(1)
## LaPr3Nd5 (PBE-GGA)

Data for a relaxed LaPr3Nd5 crystal.

The space group is C2/c (No. 15) and the conventional cell measures 18.913, 6.588 and 11.628 Å, with angles of 90.00, 112.47 and 90.00 degrees. The asymmetric unit holds La at (0.000, 0.132, 0.250), Pr at (0.000, 0.000, 0.000), Pr at (0.161, 0.307, 0.516), Nd at (0.000, 0.405, 0.750), Nd at (0.169, 0.182, 0.870) and Nd at (0.170, 0.299, 0.213).

The calculation puts the formation energy from the elements at 0.25 eV per atom. Its relative energy among the computed polymorphs is 0.000 eV per atom. The magnetization is 0.00 μB/cell.



(2)
## Ag2PW (PBE-GGA)

Data for a relaxed Ag2PW crystal.

The space group is Cmmm (No. 65) and the conventional cell measures 3.582, 4.137 and 8.996 Å, with angles of 90.00, 90.00 and 90.00 degrees. The asymmetric unit holds Ag at (0.000, 0.000, 0.247), P at (0.000, 0.500, 0.000) and W at (0.000, 0.500, 0.500).

The calculation puts the formation energy from the elements at 0.57 eV per atom. The magnetization is 0.00 μB/cell.



Question: Look up the magnetization of the first one.
Answer: 0.00 μB/cell